#A
Al2CdCl: optimized geometry, PBE. Values from VASP.

Quantum ESPRESSO input file:
```
&SYSTEM
  ibrav = 0, nat = 4, ntyp = 3
/
ATOMIC_SPECIES
Al 26.98 Al.upf
Cl 35.45 Cl.upf
Cd 112.41 Cd.upf
CELL_PARAMETERS angstrom
-0.025 -2.108 2.331
2.657 0.616 -1.561
2.234 7.427 6.738
ATOMIC_POSITIONS crystal
Al 0.000 0.000 0.995
Al 0.500 0.500 0.218
Cl 0.500 0.500 0.821
Cd 0.000 0.000 0.466
```

Calculated values
Size of the total moment = 0.00 μB/f.u.
Space group = No. 35
Fermi-level density of states = 0.7 states/eV/f.u.

#B
Al2CdCl: optimized geometry, PBE. Values from VASP.

Quantum ESPRESSO input file:
```
&SYSTEM
  ibrav = 0, nat = 4, ntyp = 3
/
ATOMIC_SPECIES
Al 26.98 Al.upf
Cd 112.41 Cd.upf
Cl 35.45 Cl.upf
CELL_PARAMETERS angstrom
-2.074 -4.655 -3.051
-1.874 -4.621 3.227
-0.538 5.677 -1.661
ATOMIC_POSITIONS crystal
Al 0.006 0.006 0.000
Al 0.781 0.281 0.500
Cd 0.509 0.509 0.000
Cl 0.204 0.704 0.500
```

Calculated values
Size of the total moment = 0.00 μB/f.u.
Space group = No. 44
Fermi-level density of states = 1.5 states/eV/f.u.

Least stable of them? #B.

#A
Al2CdCl: optimized geometry, PBE. Values from VASP.

Quantum ESPRESSO input file:
```
&SYSTEM
  ibrav = 0, nat = 4, ntyp = 3
/
ATOMIC_SPECIES
Al 26.98 Al.upf
Cd 112.41 Cd.upf
Cl 35.45 Cl.upf
CELL_PARAMETERS angstrom
-2.279 -1.971 0.465
-0.407 -0.675 -4.857
3.709 -4.224 0.276
ATOMIC_POSITIONS crystal
Al 0.000 0.000 0.504
Al 0.000 0.000 0.996
Cd 0.500 0.500 0.250
Cl 0.500 0.500 0.750
```

Calculated values
Size of the total moment = 0.00 μB/f.u.
Space group = No. 47
Fermi-level density of states = 1.2 states/eV/f.u.

#B
Al2CdCl: optimized geometry, PBE. Values from VASP.

Quantum ESPRESSO input file:
```
&SYSTEM
  ibrav = 0, nat = 4, ntyp = 3
/
ATOMIC_SPECIES
Cd 112.41 Cd.upf
Al 26.98 Al.upf
Cl 35.45 Cl.upf
CELL_PARAMETERS angstrom
-3.554 3.881 1.027
-0.703 0.185 -3.136
-3.502 -3.342 0.512
ATOMIC_POSITIONS crystal
Cd 0.500 0.250 0.250
Al 0.000 0.007 0.007
Al 0.000 0.493 0.493
Cl 0.500 0.750 0.750
```

Calculated values
Size of the total moment = 0.00 μB/f.u.
Space group = No. 10
Fermi-level density of states = 1.2 states/eV/f.u.

#C
Al2CdCl: optimized geometry, PBE. Values from VASP.

Quantum ESPRESSO input file:
```
&SYSTEM
  ibrav = 0, nat = 4, ntyp = 3
/
ATOMIC_SPECIES
Cl 35.45 Cl.upf
Al 26.98 Al.upf
Cd 112.41 Cd.upf
CELL_PARAMETERS angstrom
-1.118 -6.935 7.745
-2.791 -8.412 5.547
0.316 -8.784 5.663
ATOMIC_POSITIONS crystal
Cl 0.721 0.721 0.721
Al 0.265 0.265 0.265
Al 0.000 0.000 0.000
Cd 0.514 0.514 0.514
```

Calculated values
Size of the total moment = 0.00 μB/f.u.
Space group = No. 160
Fermi-level density of states = 2.6 states/eV/f.u.

Least stable of them? #A.